(P)
The following is a PBE-GGA calculation of a geometry-optimized Cs2Sc2I7 structure, from Alexandria via LeMat-Bulk. Values from VASP.

Geometry as Quantum ESPRESSO input:
```
&SYSTEM
  ibrav = 0, nat = 11, ntyp = 3
/
ATOMIC_SPECIES
Cs 132.91 Cs.upf
Sc 44.96 Sc.upf
I 126.90 I.upf
ATOMIC_POSITIONS crystal
Cs 0.500 0.310 0.690
Cs 0.500 0.690 0.310
Sc 0.894 0.282 0.282
Sc 0.106 0.718 0.718
I 0.234 0.928 0.631
I 0.766 0.369 0.072
I 0.766 0.072 0.369
I 0.234 0.631 0.928
I 0.000 0.000 0.000
I 0.764 0.555 0.555
I 0.236 0.445 0.445
CELL_PARAMETERS angstrom
8.223 -0.141 -0.203
-1.004 9.831 -1.316
-1.004 -4.684 8.743
```

Summary:
Fermi-level density of states   0.9 states/eV per cell



(Q)
The following is a PBE-GGA calculation of a geometry-optimized Cs2Sc2I7 structure, from Alexandria via LeMat-Bulk. Values from VASP.

Geometry as Quantum ESPRESSO input:
```
&SYSTEM
  ibrav = 0, nat = 11, ntyp = 3
/
ATOMIC_SPECIES
Cs 132.91 Cs.upf
Sc 44.96 Sc.upf
I 126.90 I.upf
ATOMIC_POSITIONS crystal
Cs 0.500 0.668 0.332
Cs 0.500 0.332 0.668
Sc 0.001 0.235 0.235
Sc 0.999 0.765 0.765
I 0.001 0.427 0.141
I 0.999 0.859 0.573
I 0.999 0.573 0.859
I 0.001 0.141 0.427
I 0.499 0.700 0.700
I 0.000 0.000 0.000
I 0.501 0.300 0.300
CELL_PARAMETERS angstrom
-3.508 -2.588 3.792
3.922 -10.178 -3.315
5.407 5.224 8.569
```

Summary:
Fermi-level density of states   1.4 states/eV per cell



Verdict on stability: (P) comes out on top.



(P)
The following is a PBE-GGA calculation of a geometry-optimized Cs4SeI2 structure, from Alexandria via LeMat-Bulk. Values from VASP.

Geometry as Quantum ESPRESSO input:
```
&SYSTEM
  ibrav = 0, nat = 7, ntyp = 3
/
ATOMIC_SPECIES
Cs 132.91 Cs.upf
I 126.90 I.upf
Se 78.96 Se.upf
ATOMIC_POSITIONS crystal
Cs 0.170 0.170 0.660
Cs 0.830 0.830 0.340
Cs 0.000 0.500 0.000
Cs 0.500 0.000 0.000
I 0.363 0.363 0.275
I 0.637 0.637 0.725
Se 0.000 0.000 0.000
CELL_PARAMETERS angstrom
6.830 0.000 0.000
0.000 6.830 0.000
3.415 3.415 9.978
```



(Q)
The following is a PBE-GGA calculation of a geometry-optimized Cs4SeI2 structure, from Alexandria via LeMat-Bulk. Values from VASP.

Geometry as Quantum ESPRESSO input:
```
&SYSTEM
  ibrav = 0, nat = 7, ntyp = 3
/
ATOMIC_SPECIES
Cs 132.91 Cs.upf
Se 78.96 Se.upf
I 126.90 I.upf
ATOMIC_POSITIONS crystal
Cs 0.038 0.275 0.650
Cs 0.962 0.725 0.350
Cs 0.346 0.232 0.076
Cs 0.654 0.768 0.924
Se 0.000 0.000 0.000
I 0.355 0.601 0.688
I 0.645 0.399 0.312
CELL_PARAMETERS angstrom
-3.325 -2.818 -2.723
-2.959 -6.756 5.754
-8.972 1.934 4.102
```



Verdict on stability: (Q) comes out on top.



(P)
The following is a PBE-GGA calculation of a geometry-optimized Cs3SeI6 structure, from Alexandria via LeMat-Bulk. Values from VASP.

Geometry as Quantum ESPRESSO input:
```
&SYSTEM
  ibrav = 0, nat = 10, ntyp = 3
/
ATOMIC_SPECIES
Cs 132.91 Cs.upf
I 126.90 I.upf
Se 78.96 Se.upf
ATOMIC_POSITIONS crystal
Cs 0.750 0.250 0.500
Cs 0.250 0.750 0.500
Cs 0.000 0.000 0.000
I 0.282 0.282 0.436
I 0.718 0.718 0.564
I 0.271 0.271 0.000
I 0.729 0.729 0.000
I 0.729 0.271 0.000
I 0.271 0.729 0.000
Se 0.500 0.500 0.000
CELL_PARAMETERS angstrom
-5.495 5.146 5.537
-7.541 -3.252 -4.462
-6.880 -3.896 4.679
```

Summary:
Fermi-level density of states   5.5 states/eV per cell



(Q)
The following is a PBE-GGA calculation of a geometry-optimized Cs3SeI6 structure, from Alexandria via LeMat-Bulk. Values from VASP.

Geometry as Quantum ESPRESSO input:
```
&SYSTEM
  ibrav = 0, nat = 20, ntyp = 3
/
ATOMIC_SPECIES
Cs 132.91 Cs.upf
Se 78.96 Se.upf
I 126.90 I.upf
ATOMIC_POSITIONS crystal
Cs 0.473 0.862 0.859
Cs 0.862 0.859 0.473
Cs 0.141 0.527 0.138
Cs 0.859 0.473 0.862
Cs 0.138 0.141 0.527
Cs 0.527 0.138 0.141
Se 0.000 0.000 0.000
Se 0.500 0.500 0.500
I 0.200 0.895 0.200
I 0.105 0.800 0.800
I 0.485 0.819 0.483
I 0.800 0.800 0.105
I 0.483 0.485 0.819
I 0.181 0.517 0.515
I 0.819 0.483 0.485
I 0.517 0.515 0.181
I 0.200 0.200 0.895
I 0.515 0.181 0.517
I 0.895 0.200 0.200
I 0.800 0.105 0.800
CELL_PARAMETERS angstrom
9.791 0.557 0.570
0.345 9.801 0.570
0.345 0.352 9.811
```

Summary:
Fermi-level density of states   9.5 states/eV per cell



Verdict on stability: (Q) comes out on top.